(1)
# NaBi3O

NaBi3O after structural relaxation (PBE-GGA, the Alexandria database).

Values from the calculation:
Raw formation energy   1.106 eV/atom
Total DFT energy (no corrections)   -12.39 eV per cell
Spin magnetization   0.0 Bohr magnetons per cell
V   31.9 Å³/atom

Unit cell a=5.4221 b=5.4221 c=5.4221 alpha=90.00 beta=90.00 gamma=90.00
Fractional positions:
Na (0.0000, 0.0000, 0.0000)
Bi (0.0000, 0.5000, 0.0000)
Bi (0.0000, 0.0000, 0.5000)
Bi (0.5000, 0.0000, 0.0000)
O (0.5000, 0.5000, 0.5000)

***

(2)
# Tm2Si2SbRh5

Tm2Si2SbRh5 after structural relaxation (PBE-GGA, the Alexandria database).

Values from the calculation:
Raw formation energy   -0.949 eV/atom
Total DFT energy (no corrections)   -140.32 eV per cell
Spin magnetization   0.0 Bohr magnetons per cell
V   16.7 Å³/atom

Unit cell a=3.5608 b=9.6949 c=9.6949 alpha=90.00 beta=90.00 gamma=90.00
Fractional positions:
Tm (0.0000, 0.6760, 0.1760)
Tm (0.0000, 0.3240, 0.8240)
Tm (0.0000, 0.1760, 0.3240)
Tm (0.0000, 0.8240, 0.6760)
Si (0.0000, 0.1207, 0.6207)
Si (0.0000, 0.8793, 0.3793)
Si (0.0000, 0.6207, 0.8793)
Si (0.0000, 0.3793, 0.1207)
Sb (0.0000, 0.0000, 0.0000)
Sb (0.0000, 0.5000, 0.5000)
Rh (0.5000, 0.2159, 0.0702)
Rh (0.5000, 0.7841, 0.9298)
Rh (0.5000, 0.0702, 0.7841)
Rh (0.5000, 0.7159, 0.4298)
Rh (0.5000, 0.9298, 0.2159)
Rh (0.5000, 0.2841, 0.5702)
Rh (0.5000, 0.5702, 0.7159)
Rh (0.5000, 0.4298, 0.2841)
Rh (0.5000, 0.5000, 0.0000)
Rh (0.5000, 0.0000, 0.5000)

***

(3)
# Pr2DyRh

Pr2DyRh after structural relaxation (PBE-GGA, the Alexandria database).

Values from the calculation:
Total DFT energy (no corrections)   -91.66 eV per cell
Spin magnetization   0.0 Bohr magnetons per cell
Formation enthalpy at 0 K   -8.085 kcal/mol of atoms
V   31.7 Å³/atom

Unit cell a=6.4839 b=6.7565 c=11.5821 alpha=89.99 beta=90.00 gamma=90.00
Fractional positions:
Pr (0.7575, 0.9095, 0.9130)
Pr (0.2425, 0.0905, 0.0870)
Pr (0.2575, 0.5905, 0.5870)
Pr (0.7425, 0.4095, 0.4130)
Pr (0.7574, 0.4095, 0.0870)
Pr (0.2426, 0.5905, 0.9130)
Pr (0.2574, 0.0905, 0.4130)
Pr (0.7426, 0.9095, 0.5870)
Dy (0.2500, 0.5738, 0.2500)
Dy (0.7500, 0.4262, 0.7500)
Dy (0.7500, 0.9262, 0.2500)
Dy (0.2500, 0.0738, 0.7500)
Rh (0.0000, 0.2500, 0.5911)
Rh (0.0000, 0.7500, 0.4089)
Rh (0.5000, 0.2500, 0.9089)
Rh (0.5000, 0.7500, 0.0911)